w:
Density functional theory data (GGA-PBE) for a relaxed structure of TlOsAu.

Calculated values
The density of states at the Fermi level is 18.6 states/eV per cell.

Cell: 6.3927 6.3927 6.3927 Å, 90.00 90.00 90.00°
Closest atoms and distances in Å follow each position.
Space group F-43m (No. 216)
Inequivalent atoms, fractional coordinates:
Tl 0.0000 0.0000 0.0000 [4 per cell]  4 Os 2.77
Os 0.2500 0.2500 0.7500 [4 per cell]  4 Tl 2.77, 4 Au 2.77
Au 0.0000 0.0000 0.5000 [4 per cell]  4 Os 2.77

x:
Density functional theory data (GGA-PBE) for a relaxed structure of TlOsAu.

Calculated values
The density of states at the Fermi level is 6.6 states/eV per cell.

Cell: 2.9767 2.9767 12.7878 Å, 90.00 90.00 90.00°
Closest atoms and distances in Å follow each position.
Space group I4mm (No. 107)
Inequivalent atoms, fractional coordinates:
Tl 0.0000 0.0000 0.0000 [2 per cell]  4 Os 2.96, 4 Tl 2.98, 4 Au 3.19
Os 0.0000 0.0000 0.3370 [2 per cell]  4 Au 2.84, 4 Tl 2.96, 4 Os 2.98
Au 0.0000 0.0000 0.6874 [2 per cell]  4 Os 2.84, 4 Au 2.98

Which one sits at the top of the stability order? x does.